[1]
9
Lattice="9.348 -1.800 0.000 9.348 1.800 0.000 -4.153 0.000 8.625" Properties=species:S:1:pos:R:3 comment="Tb4PmDy2Y2, relaxed, DFT GGA-PBE" spacegroup="C2/m, No. 12" pbc="T T T"
Tb -1.040 0.000 2.882
Tb 3.119 0.000 5.739
Tb 11.424 0.000 2.886
Tb 15.583 0.000 5.743
Pm 9.348 0.000 0.000
Dy 3.128 0.000 0.012
Dy 11.415 0.000 8.613
Y 5.201 0.000 2.874
Y 9.342 0.000 5.752

***

[2]
12
Lattice="3.091 -5.350 0.000 3.091 5.350 0.000 -2.048 0.000 11.646" Properties=species:S:1:pos:R:3 comment="Tb6PmDy2Y3, relaxed, DFT GGA-PBE" spacegroup="C2/m, No. 12" pbc="T T T"
Tb 1.029 1.786 2.910
Tb 0.009 0.000 8.734
Tb 1.029 -1.786 2.910
Tb 3.105 1.786 8.736
Tb 4.124 0.000 2.911
Tb 3.105 -1.786 8.736
Pm 2.067 0.000 5.823
Dy 2.067 3.566 5.823
Dy 2.067 -3.566 5.823
Y 0.000 0.000 0.000
Y 3.091 1.785 0.000
Y 3.091 -1.785 0.000

***

[3]
20
Lattice="4.577 -7.535 0.000 4.577 7.535 0.000 -1.207 0.000 9.493" Properties=species:S:1:pos:R:3 comment="Tb6PmDyY2, relaxed, DFT GGA-PBE" spacegroup="C2/c, No. 15" pbc="T T T"
Tb 2.482 4.132 1.746
Tb 3.322 4.785 5.284
Tb 4.022 4.785 8.956
Tb 3.213 1.638 3.614
Tb 6.069 4.132 3.000
Tb 5.338 1.638 1.133
Tb 2.610 -1.638 8.360
Tb 1.879 -4.132 6.493
Tb 4.735 -1.638 5.880
Tb 3.926 -4.785 0.537
Tb 4.626 -4.785 4.210
Tb 5.466 -4.132 7.747
Pm 3.672 1.393 7.120
Pm 4.276 -1.393 2.373
Dy 4.276 7.121 2.373
Dy 3.672 -7.121 7.120
Y 2.199 0.762 0.431
Y 1.596 -0.762 5.177
Y 6.352 0.762 4.316
Y 5.749 -0.762 9.062

***

[4]
9
Lattice="7.642 -2.544 0.000 7.642 2.544 0.000 -2.552 0.000 7.624" Properties=species:S:1:pos:R:3 comment="Tb2Pm4Dy2Y, relaxed, DFT GGA-PBE" spacegroup="C2/m, No. 12" pbc="T T T"
Tb 1.274 0.000 1.283
Tb 11.458 0.000 6.341
Pm 1.280 0.000 6.347
Pm 6.378 0.000 1.275
Pm 6.354 0.000 6.349
Pm 11.452 0.000 1.277
Dy 3.808 0.000 3.815
Dy 8.924 0.000 3.809
Y -1.276 0.000 3.812

***

[5]
12
Lattice="3.088 -5.344 0.000 3.088 5.344 0.000 -2.044 0.000 11.645" Properties=species:S:1:pos:R:3 comment="Tb6PmDy3Y2, relaxed, DFT GGA-PBE" spacegroup="C2/m, No. 12" pbc="T T T"
Tb 0.013 1.781 8.754
Tb 1.030 0.000 2.891
Tb 0.013 -1.781 8.754
Tb 4.119 1.781 2.891
Tb 3.102 0.000 8.754
Tb 4.119 -1.781 2.891
Pm -1.022 0.000 5.823
Dy 3.088 3.559 0.000
Dy 3.088 0.000 0.000
Dy 3.088 -3.559 0.000
Y 2.066 1.781 5.823
Y 2.066 -1.781 5.823

***

[6]
9
Lattice="7.639 -2.543 0.000 7.639 2.543 0.000 -2.544 0.000 7.632" Properties=species:S:1:pos:R:3 comment="TbPm4Dy2Y2, relaxed, DFT GGA-PBE" spacegroup="C2/m, No. 12" pbc="T T T"
Tb 0.000 0.000 0.000
Pm 2.550 0.000 2.534
Pm 5.098 0.000 5.109
Pm 7.636 0.000 2.523
Pm 10.183 0.000 5.098
Dy 2.544 0.000 7.631
Dy 10.190 0.000 0.002
Y 0.002 0.000 5.103
Y 12.732 0.000 2.529

***

| no. | D(E_F) (states/eV per atom) | final energy (eV/cell) |
| --- | --- | --- |
| 1 | 1.344 | -45.4 |
| 2 | 1.338 | -60.9 |
| 3 | 1.508 | -97.6 |
| 4 | 1.474 | -43.8 |
| 5 | 1.296 | -59.1 |
| 6 | 1.444 | -45.6 |